The following is a PBE-GGA calculation of a geometry-optimized NaLi2LaBr6 structure, from Alexandria via LeMat-Bulk.

Calculated values
DOS(E_F): 0.00 states/eV per cell
space group: R3, No. 146
total magnetization: 0.0 μB/cell
calculated volume: 29.66 Å³/atom
raw total energy: -37.081 eV/cell

Lattice parameters (Å, degrees): 7.2377 7.2371 7.7601 62.20 62.21 60.00
Positions (direct):
Na1 0.8121 0.8121 0.5637
Li1 0.5146 0.5145 0.4565
Li2 0.0129 0.0128 0.9614
La1 0.3175 0.3175 0.0474
Br1 0.6195 0.2427 0.2474
Br2 0.2427 0.8903 0.2474
Br3 0.8904 0.6196 0.2474
Br4 0.3800 0.7425 0.7480
Br5 0.7424 0.1295 0.7480
Br6 0.1294 0.3801 0.7480